Below is AlTc4Te after structural relaxation, with properties calculated at the PBE level.

```
6
Lattice="0.0000 3.6998 3.6998 3.6998 0.0000 3.6998 3.6998 3.6998 0.0000" Properties=species:S:1:pos:R:3 pbc="T T T"
Al 0.0000 0.0000 0.0000
Tc 2.7779 2.7779 4.6217
Tc 2.7779 4.6217 2.7779
Tc 4.6217 4.6217 4.6217
Tc 4.6217 2.7779 2.7779
Te 1.8499 1.8499 1.8499
```

raw formation energy = 41 kJ per mole of atoms
SG = F-43m, No. 216